DFT (PBE-GGA) results for an optimized crystal structure of TaTi2Ru.

Lattice parameters (Å, degrees): 3.0853 3.0853 6.7631 90.00 90.00 90.00
Last column: nearest neighbours and their distance in Å.
Fractional positions:
Ti: 0.0000 0.0000 0.2258  4 Ru 2.66, 4 Ta 2.86
Ta: 0.5000 0.5000 0.5000  8 Ti 2.86, 4 Ta 3.09
Ti: 0.0000 0.0000 0.7742  4 Ru 2.66, 4 Ta 2.86
Ru: 0.5000 0.5000 0.0000  8 Ti 2.66

Values from the calculation:
ΔH_f (0 K): -0.36 eV/atom
Space group: No. 123
Distance to the lowest polymorph of the same formula: 0.000 eV per atom
Total DFT energy (no corrections): -38.3 eV per cell

DFT (PBE-GGA) results for an optimized crystal structure of SrAcReO6.

Lattice parameters (Å, degrees): 5.7917 5.7914 5.1017 90.00 89.99 60.00
Last column: nearest neighbours and their distance in Å.
Fractional positions:
Re: 0.3333 0.3333 0.5000  6 O 1.91
O: 0.6101 0.0695 0.2859  1 Re 1.91
O: 0.6101 0.3204 0.7141  1 Re 1.91
O: 0.3203 0.0695 0.7141  1 Re 1.91
O: 0.0695 0.3204 0.2859  1 Re 1.91
O: 0.3203 0.6102 0.2859  1 Re 1.91
Sr: 0.6667 0.6666 0.5000  6 O 2.45
Ac: 0.0000 0.0000 0.0000  6 O 2.55
O: 0.0695 0.6101 0.7141  1 Re 1.91

Values from the calculation:
Space group: No. 149
Total DFT energy (no corrections): -69.8 eV per cell
ΔE_f (raw): -2425 meV/atom